# Sc2SeCl (GGA-PBE, relaxed)
# Raw formation energy in eV per atom: -1.083
# Size of the total moment in μB/cell: 0.000
# Calculated volume in A^3/atom: 22.3
# Fermi-level density of states in states/eV per cell: 5.24
data_Sc2SeCl
_chemical_formula_sum 'Sc4 Se2 Cl2'
_space_group_name_H-M_alt 'C m m m'
_space_group_IT_number 65
_space_group_name_Hall '-C 2 2'
_cell_length_a 3.524
_cell_length_b 6.297
_cell_length_c 8.042
_cell_angle_alpha 90.00
_cell_angle_beta 90.00
_cell_angle_gamma 90.00
loop_
_atom_site_label
_atom_site_type_symbol
_atom_site_fract_x
_atom_site_fract_y
_atom_site_fract_z
_atom_site_occupancy
Sc1 Sc 0.000 0.000 0.236 1
Se1 Se 0.000 0.500 0.000 1
Cl1 Cl 0.000 0.500 0.500 1

# ScSeCl2 (GGA-PBE, relaxed)
# Raw formation energy in eV per atom: -1.285
# Size of the total moment in μB/cell: 0.930
# Calculated volume in A^3/atom: 28.7
# Fermi-level density of states in states/eV per cell: 3.85
data_ScSeCl2
_chemical_formula_sum 'Sc2 Se2 Cl4'
_space_group_name_H-M_alt 'C 1 2/m 1'
_space_group_IT_number 12
_space_group_name_Hall '-C 2y'
_cell_length_a 14.565
_cell_length_b 3.301
_cell_length_c 5.088
_cell_angle_alpha 90.00
_cell_angle_beta 110.38
_cell_angle_gamma 90.00
loop_
_atom_site_label
_atom_site_type_symbol
_atom_site_fract_x
_atom_site_fract_y
_atom_site_fract_z
_atom_site_occupancy
Sc1 Sc 0.000 0.000 0.000 1
Se1 Se 0.000 0.500 0.500 1
Cl1 Cl 0.141 0.500 0.141 1

# ScSeCl (GGA-PBE, relaxed)
# Raw formation energy in eV per atom: -1.877
# Size of the total moment in μB/cell: 0.000
# Calculated volume in A^3/atom: 26.5
data_ScSeCl
_chemical_formula_sum 'Sc4 Se4 Cl4'
_space_group_name_H-M_alt 'P 42/m m c'
_space_group_IT_number 131
_space_group_name_Hall '-P 4c 2'
_cell_length_a 7.659
_cell_length_b 7.659
_cell_length_c 5.412
_cell_angle_alpha 90.00
_cell_angle_beta 90.00
_cell_angle_gamma 90.00
loop_
_atom_site_label
_atom_site_type_symbol
_atom_site_fract_x
_atom_site_fract_y
_atom_site_fract_z
_atom_site_occupancy
Sc1 Sc 0.000 0.258 0.000 1
Se1 Se 0.000 0.244 0.500 1
Cl1 Cl 0.222 0.500 0.000 1

# Sc2SeCl (GGA-PBE, relaxed)
# Raw formation energy in eV per atom: -1.084
# Size of the total moment in μB/cell: 0.000
# Calculated volume in A^3/atom: 21.7
# Fermi-level density of states in states/eV per cell: 3.64
data_Sc2SeCl
_chemical_formula_sum 'Sc2 Se1 Cl1'
_space_group_name_H-M_alt 'P m m m'
_space_group_IT_number 47
_space_group_name_Hall '-P 2 2'
_cell_length_a 3.532
_cell_length_b 3.992
_cell_length_c 6.155
_cell_angle_alpha 90.00
_cell_angle_beta 90.00
_cell_angle_gamma 90.00
loop_
_atom_site_label
_atom_site_type_symbol
_atom_site_fract_x
_atom_site_fract_y
_atom_site_fract_z
_atom_site_occupancy
Sc1 Sc 0.000 0.000 0.000 1
Sc2 Sc 0.500 0.000 0.500 1
Se1 Se 0.000 0.500 0.500 1
Cl1 Cl 0.500 0.500 0.000 1

# Sc2SeCl (GGA-PBE, relaxed)
# Raw formation energy in eV per atom: -1.283
# Size of the total moment in μB/cell: 0.051
# Calculated volume in A^3/atom: 20.1
# Fermi-level density of states in states/eV per cell: 13.07
data_Sc2SeCl
_chemical_formula_sum 'Sc6 Se3 Cl3'
_space_group_name_H-M_alt 'R 3 m'
_space_group_IT_number 160
_space_group_name_Hall 'R 3 -2"'
_cell_length_a 3.6158
_cell_length_b 3.6158
_cell_length_c 21.3226
_cell_angle_alpha 90.00
_cell_angle_beta 90.00
_cell_angle_gamma 120.00
loop_
_atom_site_label
_atom_site_type_symbol
_atom_site_fract_x
_atom_site_fract_y
_atom_site_fract_z
_atom_site_occupancy
Sc1 Sc 0.0000 0.0000 0.0000 1
Sc2 Sc 0.0000 0.0000 0.1788 1
Se1 Se 0.0000 0.0000 0.5898 1
Cl1 Cl 0.0000 0.0000 0.7595 1

# ScSeCl2 (GGA-PBE, relaxed)
# Raw formation energy in eV per atom: -0.655
# Size of the total moment in μB/cell: 3.394
# Calculated volume in A^3/atom: 19.9
# Fermi-level density of states in states/eV per cell: 9.60
data_ScSeCl2
_chemical_formula_sum 'Sc4 Se4 Cl8'
_space_group_name_H-M_alt 'F m -3 m'
_space_group_IT_number 225
_space_group_name_Hall '-F 4 2 3'
_cell_length_a 6.831
_cell_length_b 6.831
_cell_length_c 6.831
_cell_angle_alpha 90.00
_cell_angle_beta 90.00
_cell_angle_gamma 90.00
loop_
_atom_site_label
_atom_site_type_symbol
_atom_site_fract_x
_atom_site_fract_y
_atom_site_fract_z
_atom_site_occupancy
Sc1 Sc 0.000 0.000 0.000 1
Se1 Se 0.000 0.000 0.500 1
Cl1 Cl 0.250 0.250 0.250 1

# Sc2Se2Cl (GGA-PBE, relaxed)
# Raw formation energy in eV per atom: -1.776
# Size of the total moment in μB/cell: 0.000
# Calculated volume in A^3/atom: 23.3
# Fermi-level density of states in states/eV per cell: 8.20
data_Sc2Se2Cl
_chemical_formula_sum 'Sc8 Se8 Cl4'
_space_group_name_H-M_alt 'C 1 2/m 1'
_space_group_IT_number 12
_space_group_name_Hall '-C 2y'
_cell_length_a 12.112
_cell_length_b 5.386
_cell_length_c 7.637
_cell_angle_alpha 90.00
_cell_angle_beta 110.93
_cell_angle_gamma 90.00
loop_
_atom_site_label
_atom_site_type_symbol
_atom_site_fract_x
_atom_site_fract_y
_atom_site_fract_z
_atom_site_occupancy
Sc1 Sc 0.003 0.000 0.244 1
Sc2 Sc 0.162 0.500 0.079 1
Se1 Se 0.009 0.500 0.261 1
Se2 Se 0.175 0.000 0.097 1
Cl1 Cl 0.154 0.000 0.596 1

# Sc2SeCl (GGA-PBE, relaxed)
# Raw formation energy in eV per atom: -1.363
# Size of the total moment in μB/cell: 0.000
# Calculated volume in A^3/atom: 20.2
# Fermi-level density of states in states/eV per cell: 1.28
data_Sc2SeCl
_chemical_formula_sum 'Sc2 Se1 Cl1'
_space_group_name_H-M_alt 'P 4 m m'
_space_group_IT_number 99
_space_group_name_Hall 'P 4 -2'
_cell_length_a 3.626
_cell_length_b 3.626
_cell_length_c 6.143
_cell_angle_alpha 90.00
_cell_angle_beta 90.00
_cell_angle_gamma 90.00
loop_
_atom_site_label
_atom_site_type_symbol
_atom_site_fract_x
_atom_site_fract_y
_atom_site_fract_z
_atom_site_occupancy
Sc1 Sc 0.000 0.000 0.000 1
Sc2 Sc 0.500 0.500 0.315 1
Se1 Se 0.000 0.000 0.462 1
Cl1 Cl 0.500 0.500 0.877 1

Number 3 is which compound? ScSeCl

Which value of calculated volume does entry 3 give? 26.5 A^3/atom